[1]
An optimized crystal structure of BaCoSb2, computed with PBEsol.

Computed properties:
Formation energy from raw total energies, eV/atom: -0.166
Space-group type: No. 44

Lattice parameters (Å, degrees): 8.2720 8.2720 8.2720 156.61 153.30 35.79
Last column: nearest neighbours and their distance in Å.
Fractional coordinates of all 4 atoms:
Ba 0.0000 0.0000 0.0000  2 Ba 3.35, 6 Sb 3.40-3.45
Co 0.2335 0.7335 0.5000  6 Sb 2.50-2.68
Sb 0.3516 0.3516 0.0000  2 Co 2.50
Sb 0.6788 0.1788 0.5000  4 Co 2.68

[2]
An optimized crystal structure of BaCoSb2Te, computed with PBEsol.

Computed properties:
Formation energy from raw total energies, eV/atom: 1.629
Space-group type: No. 123

Lattice parameters (Å, degrees): 6.0846 6.0846 6.1650 90.00 90.00 90.00
Last column: nearest neighbours and their distance in Å.
Fractional coordinates of all 5 atoms:
Ba 0.0000 0.0000 0.0000  4 Sb 3.04, 2 Te 3.08
Co 0.5000 0.5000 0.5000  4 Te 4.30, 8 Sb 4.33
Sb 0.0000 0.5000 0.0000  2 Ba 3.04
Sb 0.5000 0.0000 0.0000  2 Ba 3.04
Te 0.0000 0.0000 0.5000  2 Ba 3.08

[3]
An optimized crystal structure of BaScCo4, computed with PBEsol.

Computed properties:
Energy of formation from the pure elements, eV per formula unit: 1.69
Space-group type: No. 216

Lattice parameters (Å, degrees): 5.0292 5.0292 5.0292 60.00 60.00 60.00
Last column: nearest neighbours and their distance in Å.
Fractional coordinates of all 6 atoms:
Ba 0.0000 0.0000 0.0000  12 Co 2.95, 4 Sc 3.08
Sc 0.7500 0.7500 0.7500  12 Co 2.94, 4 Ba 3.08
Co 0.3770 0.3770 0.3770  6 Co 2.47-2.56
Co 0.3770 0.3770 0.8690  6 Co 2.47-2.56
Co 0.3770 0.8690 0.3770  6 Co 2.47-2.56
Co 0.8690 0.3770 0.3770  6 Co 2.47-2.56

[4]
An optimized crystal structure of Ba2CoSe, computed with PBEsol.

Computed properties:
Formation energy from raw total energies, eV/atom: -0.432
Space-group type: No. 123

Lattice parameters (Å, degrees): 3.9279 3.9279 7.5961 90.00 90.00 90.00
Last column: nearest neighbours and their distance in Å.
Fractional coordinates of all 4 atoms:
Ba 0.0000 0.0000 0.2475  4 Se 3.35, 4 Co 3.38
Ba 0.0000 0.0000 0.7525  4 Se 3.35, 4 Co 3.38
Co 0.5000 0.5000 0.5000  8 Ba 3.38
Se 0.5000 0.5000 0.0000  8 Ba 3.35

| no. | total DFT energy (no corrections) (eV/atom) |
| --- | --- |
| 1 | -4.916 |
| 2 | -2.877 |
| 3 | -6.336 |
| 4 | -4.403 |